Record 1
Computed, not measured: LuIrS2 after structural relaxation at the PBE-GGA level of DFT.

The calculation puts the uncorrected energy at -5.907 eV per atom. For the formation energy (no corrections), the calculation gives -0.497 eV per atom. Its total magnetization is 0.000 μB/atom.

The structure belongs to space group R-3m (No. 166, hexagonal axes); the cell edges are 3.6482, 3.6482 and 22.8495 Å and the angles 90.00°, 90.00° and 120.00°. Symmetry generates all atoms from Lu at (0.0000, 0.0000, 0.0000), Ir at (0.0000, 0.0000, 0.5000) and S at (0.0000, 0.0000, 0.1166).

***

Record 2
Computed, not measured: LuSc2Pa after structural relaxation at the PBE-GGA level of DFT.

The formation energy comes out at 0.07 eV/atom. The calculation puts the uncorrected energy at -6.596 eV per atom. Its total magnetization is 0.000 μB/atom.

The structure belongs to space group R-3m (No. 166, hexagonal axes); the cell edges are 3.3093, 3.3093 and 32.3767 Å and the angles 90.00°, 90.00° and 120.00°. Symmetry generates all atoms from Lu at (0.0000, 0.0000, 0.0000), Sc at (0.0000, 0.0000, 0.2466) and Pa at (0.0000, 0.0000, 0.5000).

***

Record 3
Computed, not measured: Ba2MgSnAu6 after structural relaxation at the PBE-GGA level of DFT.

The formation energy comes out at -0.52 eV/atom. The calculation puts the uncorrected energy at -3.428 eV per atom. Its total magnetization is 0.000 μB/atom.

The structure belongs to space group P-1 (No. 2); the cell edges are 6.0301, 7.3593 and 7.3767 Å and the angles 83.38°, 65.88° and 65.87°. Symmetry generates all atoms from Ba at (0.0448, 0.2082, 0.2020), Mg at (0.5000, 0.0000, 0.5000), Sn at (0.5000, 0.5000, 0.0000), Au at (0.0068, 0.2618, 0.7291), Au at (0.3587, 0.3859, 0.3964) and Au at (0.4990, 0.2638, 0.7294).

***

Record 4
Computed, not measured: CsAg2S2 after structural relaxation at the PBE-GGA level of DFT.

The calculation puts the uncorrected energy at -3.301 eV per atom. For the formation energy (no corrections), the calculation gives -0.339 eV per atom. Its total magnetization is 0.000 μB/atom.

The structure belongs to space group I4/mmm (No. 139); the cell edges are 5.0759, 5.0759 and 11.9558 Å and the angles 90.00°, 90.00° and 90.00°. Symmetry generates all atoms from Cs at (0.0000, 0.0000, 0.0000), Ag at (0.0000, 0.0000, 0.2833) and S at (0.0000, 0.5000, 0.2500).

***

Record 5
Computed, not measured: Cs4Ag2Cl after structural relaxation at the PBE-GGA level of DFT.

The calculation puts the uncorrected energy at -2.080 eV per atom. For the formation energy (no corrections), the calculation gives -0.514 eV per atom. Its total magnetization is 0.000 μB/atom.

The structure belongs to space group C2/m (No. 12); the cell edges are 18.9740, 5.0772 and 8.1155 Å and the angles 90.00°, 99.48° and 90.00°. Symmetry generates all atoms from Cs at (0.0889, 0.0000, 0.2629), Cs at (0.1550, 0.5000, 0.8073), Ag at (0.2429, 0.5000, 0.4133) and Cl at (0.0000, 0.5000, 0.0000).

***

Record 6
Computed, not measured: NiAs2PdSe after structural relaxation at the PBE-GGA level of DFT.

The calculation puts the uncorrected energy at -3.874 eV per atom. For the formation energy (no corrections), the calculation gives 0.878 eV per atom. Its total magnetization is 0.120 μB/atom.

The structure belongs to space group P4/mmm (No. 123); the cell edges are 4.7630, 4.7630 and 5.0944 Å and the angles 90.00°, 90.00° and 90.00°. Symmetry generates all atoms from Ni at (0.0000, 0.0000, 0.0000), As at (0.0000, 0.5000, 0.5000), Pd at (0.5000, 0.5000, 0.5000) and Se at (0.5000, 0.5000, 0.0000).

***

Record 7
Computed, not measured: NdThGa2Rh5 after structural relaxation at the PBE-GGA level of DFT.

The formation energy comes out at -0.66 eV/atom. The calculation puts the uncorrected energy at -6.766 eV per atom. Its total magnetization is 0.000 μB/atom.

The structure belongs to space group P4/mmm (No. 123); the cell edges are 4.5272, 4.5272 and 8.0635 Å and the angles 90.00°, 90.00° and 90.00°. Symmetry generates all atoms from Nd at (0.0000, 0.0000, 0.0000), Th at (0.0000, 0.0000, 0.5000), Ga at (0.5000, 0.5000, 0.3411), Rh at (0.0000, 0.5000, 0.2408) and Rh at (0.5000, 0.5000, 0.0000).

***

Record 8
Computed, not measured: Rb2SrMoC after structural relaxation at the PBE-GGA level of DFT.

The formation energy comes out at 1.64 eV/atom. The calculation puts the uncorrected energy at -3.093 eV per atom. Its total magnetization is 1.272 μB/atom.

The structure belongs to space group P4/mmm (No. 123); the cell edges are 6.1470, 6.1470 and 5.3733 Å and the angles 90.00°, 90.00° and 90.00°. Symmetry generates all atoms from Rb at (0.0000, 0.5000, 0.0000), Sr at (0.0000, 0.0000, 0.5000), Mo at (0.5000, 0.5000, 0.5000) and C at (0.0000, 0.0000, 0.0000).

***

Record 9
Computed, not measured: LiHCl2 after structural relaxation at the PBE-GGA level of DFT.

The calculation puts the uncorrected energy at -2.341 eV per atom. Its total magnetization is 0.012 μB/atom.

The structure belongs to space group Fm-3m (No. 225); the cell edges are 6.3533, 6.3533 and 6.3533 Å and the angles 90.00°, 90.00° and 90.00°. Symmetry generates all atoms from Li at (0.0000, 0.0000, 0.0000), H at (0.0000, 0.0000, 0.5000) and Cl at (0.2500, 0.2500, 0.2500).

***

Record 10
Computed, not measured: CaGaFe3 after structural relaxation at the PBE-GGA level of DFT.

The formation energy comes out at 1.86 eV/atom. The calculation puts the uncorrected energy at -4.224 eV per atom. Its total magnetization is 1.428 μB/atom.

The structure belongs to space group Pm-3m (No. 221); the cell edges are 4.5981, 4.5981 and 4.5981 Å and the angles 90.00°, 90.00° and 90.00°. Symmetry generates all atoms from Ca at (0.0000, 0.0000, 0.0000), Ga at (0.5000, 0.5000, 0.5000) and Fe at (0.0000, 0.0000, 0.5000).

***

Record 11
Computed, not measured: Pa3SN3 after structural relaxation at the PBE-GGA level of DFT.

The calculation puts the uncorrected energy at -9.889 eV per atom. For the formation energy (no corrections), the calculation gives -1.661 eV per atom. Its total magnetization is 0.000 μB/atom.

The structure belongs to space group R-3 (No. 148, hexagonal axes); the cell edges are 6.6945, 6.6945 and 19.7368 Å and the angles 90.00°, 90.00° and 120.00°. Symmetry generates all atoms from Pa at (0.0005, 0.3419, 0.4053), S at (0.0000, 0.0000, 0.1665) and N at (0.0013, 0.3224, 0.6239).

***

Record 12
Computed, not measured: Tm8GaAs3Se4 after structural relaxation at the PBE-GGA level of DFT.

The calculation puts the uncorrected energy at -5.696 eV per atom. For the formation energy (no corrections), the calculation gives -1.528 eV per atom. Its total magnetization is 0.000 μB/atom.

The structure belongs to space group R-3m (No. 166, hexagonal axes); the cell edges are 8.1132, 8.1132 and 19.9045 Å and the angles 90.00°, 90.00° and 120.00°. Symmetry generates all atoms from Tm at (0.0000, 0.0000, 0.2456), Tm at (0.0044, 0.5022, 0.2457), Ga at (0.0000, 0.0000, 0.5000), As at (0.0000, 0.5000, 0.5000), Se at (0.0000, 0.0000, 0.0000) and Se at (0.0000, 0.5000, 0.0000).

***

Record 13
Computed, not measured: ZnCr2 after structural relaxation at the PBE-GGA level of DFT.

The formation energy comes out at 0.39 eV/atom. The calculation puts the uncorrected energy at -6.447 eV per atom. Its total magnetization is 0.001 μB/atom.

The structure belongs to space group Fd-3m (No. 227, origin choice 2); the cell edges are 6.7736, 6.7736 and 6.7736 Å and the angles 90.00°, 90.00° and 90.00°. Symmetry generates all atoms from Zn at (0.1250, 0.1250, 0.1250) and Cr at (0.0000, 0.0000, 0.5000).

***

Record 14
Computed, not measured: AlIn3 after structural relaxation at the PBE-GGA level of DFT.

The formation energy comes out at 0.10 eV/atom. The calculation puts the uncorrected energy at -2.891 eV per atom. Its total magnetization is 0.000 μB/atom.

The structure belongs to space group P4/mmm (No. 123); the cell edges are 3.3661, 3.3661 and 8.7383 Å and the angles 90.00°, 90.00° and 90.00°. Symmetry generates all atoms from Al at (0.0000, 0.0000, 0.0000), In at (0.0000, 0.0000, 0.5000) and In at (0.5000, 0.5000, 0.2219).

***

Record 15
Computed, not measured: TmH3Pd3 after structural relaxation at the PBE-GGA level of DFT.

The calculation puts the uncorrected energy at -4.824 eV per atom. Its total magnetization is 0.000 μB/atom.

The structure belongs to space group Pm-3n (No. 223); the cell edges are 5.4287, 5.4287 and 5.4287 Å and the angles 90.00°, 90.00° and 90.00°. Symmetry generates all atoms from Tm at (0.0000, 0.0000, 0.0000), H at (0.0000, 0.2500, 0.5000) and Pd at (0.0000, 0.5000, 0.2500).

***

Record 16
Computed, not measured: Sc5Ga4Pd after structural relaxation at the PBE-GGA level of DFT.

The formation energy comes out at -0.66 eV/atom. The calculation puts the uncorrected energy at -5.557 eV per atom. Its total magnetization is 0.000 μB/atom.

The structure belongs to space group P4/mmm (No. 123); the cell edges are 3.3541, 3.3541 and 16.6737 Å and the angles 90.00°, 90.00° and 90.00°. Symmetry generates all atoms from Sc at (0.0000, 0.0000, 0.0000), Sc at (0.0000, 0.0000, 0.2018), Sc at (0.0000, 0.0000, 0.4031), Ga at (0.5000, 0.5000, 0.1009), Ga at (0.5000, 0.5000, 0.3027) and Pd at (0.5000, 0.5000, 0.5000).

***

Record 17
Computed, not measured: SrZrHg3 after structural relaxation at the PBE-GGA level of DFT.

The formation energy comes out at 0.95 eV/atom. The calculation puts the uncorrected energy at -1.273 eV per atom. Its total magnetization is 0.000 μB/atom.

The structure belongs to space group Pm-3m (No. 221); the cell edges are 5.6355, 5.6355 and 5.6355 Å and the angles 90.00°, 90.00° and 90.00°. Symmetry generates all atoms from Sr at (0.0000, 0.0000, 0.0000), Zr at (0.5000, 0.5000, 0.5000) and Hg at (0.0000, 0.0000, 0.5000).

***

Record 18
Computed, not measured: AcY8Tm6 after structural relaxation at the PBE-GGA level of DFT.

The formation energy comes out at 0.23 eV/atom. The calculation puts the uncorrected energy at -5.282 eV per atom. Its total magnetization is 0.000 μB/atom.

The structure belongs to space group P-3 (No. 147); the cell edges are 9.5022, 9.5022 and 6.4720 Å and the angles 90.00°, 90.00° and 120.00°. Symmetry generates all atoms from Ac at (0.0000, 0.0000, 0.0000), Y at (0.0277, 0.3418, 0.4085), Y at (0.3333, 0.6667, 0.6712) and Tm at (0.1014, 0.6781, 0.0897).

***

Record 19
Computed, not measured: BeBiCl3 after structural relaxation at the PBE-GGA level of DFT.

The calculation puts the uncorrected energy at -2.614 eV per atom. For the formation energy (no corrections), the calculation gives 0.016 eV per atom. Its total magnetization is 0.000 μB/atom.

The structure belongs to space group Pm-3m (No. 221); the cell edges are 5.4645, 5.4645 and 5.4645 Å and the angles 90.00°, 90.00° and 90.00°. Symmetry generates all atoms from Be at (0.0000, 0.0000, 0.0000), Bi at (0.5000, 0.5000, 0.5000) and Cl at (0.0000, 0.5000, 0.5000).

***

Record 20
Computed, not measured: Ga4Co3 after structural relaxation at the PBE-GGA level of DFT.

The formation energy comes out at -0.27 eV/atom. The calculation puts the uncorrected energy at -5.043 eV per atom. Its total magnetization is 0.000 μB/atom.

The structure belongs to space group R-3m (No. 166, hexagonal axes); the cell edges are 4.0594, 4.0594 and 19.4745 Å and the angles 90.00°, 90.00° and 120.00°. Symmetry generates all atoms from Ga at (0.0000, 0.0000, 0.1182), Ga at (0.0000, 0.0000, 0.3705), Co at (0.0000, 0.0000, 0.2451) and Co at (0.0000, 0.0000, 0.5000).

***

Record 21
Computed, not measured: CsCd2As after structural relaxation at the PBE-GGA level of DFT.

The formation energy comes out at -0.23 eV/atom. The calculation puts the uncorrected energy at -2.065 eV per atom. Its total magnetization is 0.000 μB/atom.

The structure belongs to space group P4/nmm (No. 129, origin choice 2); the cell edges are 4.4908, 4.4908 and 13.9186 Å and the angles 90.00°, 90.00° and 90.00°. Symmetry generates all atoms from Cs at (0.2500, 0.2500, 0.2467), Cd at (0.2500, 0.2500, 0.5264), Cd at (0.2500, 0.7500, 0.0000) and As at (0.2500, 0.2500, 0.8797).

***

Record 22
Computed, not measured: Co2PtPb after structural relaxation at the PBE-GGA level of DFT.

The formation energy comes out at 0.27 eV/atom. The calculation puts the uncorrected energy at -5.720 eV per atom. Its total magnetization is 0.906 μB/atom.

The structure belongs to space group P4mm (No. 99); the cell edges are 3.0751, 3.0751 and 6.8397 Å and the angles 90.00°, 90.00° and 90.00°. Symmetry generates all atoms from Co at (0.0000, 0.0000, 0.0000), Co at (0.5000, 0.5000, 0.1615), Pt at (0.5000, 0.5000, 0.7747) and Pb at (0.0000, 0.0000, 0.4606).

***

Record 23
Computed, not measured: Pr6Ni2CBr3 after structural relaxation at the PBE-GGA level of DFT.

The calculation puts the uncorrected energy at -5.311 eV per atom. For the formation energy (no corrections), the calculation gives -0.771 eV per atom. Its total magnetization is 0.000 μB/atom.

The structure belongs to space group C2/m (No. 12); the cell edges are 6.9829, 12.0950 and 7.9678 Å and the angles 90.00°, 106.86° and 90.00°. Symmetry generates all atoms from Pr at (0.2206, 0.1558, 0.1922), Pr at (0.2467, 0.0000, 0.8063), Ni at (0.0000, 0.3335, 0.0000), C at (0.0000, 0.0000, 0.0000), Br at (0.0000, 0.1679, 0.5000) and Br at (0.0000, 0.5000, 0.5000).

***

Record 24
Computed, not measured: La2Cu3Sn4Pd after structural relaxation at the PBE-GGA level of DFT.

The formation energy comes out at -0.55 eV/atom. The calculation puts the uncorrected energy at -4.883 eV per atom. Its total magnetization is 0.000 μB/atom.

The structure belongs to space group P-4m2 (No. 115); the cell edges are 4.5661, 4.5661 and 10.6805 Å and the angles 90.00°, 90.00° and 90.00°. Symmetry generates all atoms from La at (0.0000, 0.5000, 0.2413), Cu at (0.0000, 0.0000, 0.0000), Cu at (0.0000, 0.5000, 0.6316), Sn at (0.0000, 0.0000, 0.5000), Sn at (0.0000, 0.5000, 0.8713), Sn at (0.5000, 0.5000, 0.5000) and Pd at (0.5000, 0.5000, 0.0000).

***

Record 25
Computed, not measured: HfMo2OsRh after structural relaxation at the PBE-GGA level of DFT.

The formation energy comes out at 1.21 eV/atom. The calculation puts the uncorrected energy at -8.832 eV per atom. Its total magnetization is 0.000 μB/atom.

The structure belongs to space group P4/mmm (No. 123); the cell edges are 4.6998, 4.6998 and 4.7224 Å and the angles 90.00°, 90.00° and 90.00°. Symmetry generates all atoms from Hf at (0.0000, 0.0000, 0.0000), Mo at (0.0000, 0.5000, 0.5000), Os at (0.5000, 0.5000, 0.5000) and Rh at (0.5000, 0.5000, 0.0000).